A plane-wave DFT calculation with PBE was carried out for a relaxed Li3Rh crystal.

The structure in CIF format:
```
data_Li3Rh
_cell_length_a 8.9931
_cell_length_b 2.6577
_cell_length_c 4.8427
_cell_angle_alpha 90.00
_cell_angle_beta 97.81
_cell_angle_gamma 90.00
_symmetry_space_group_name_H-M 'C 1 2/m 1'
_symmetry_Int_Tables_number 12
loop_
_symmetry_equiv_pos_as_xyz
'x,y,z'
'-x,-y,-z'
'-x,y,-z'
'x,-y,z'
'x+1/2,y+1/2,z'
'-x+1/2,-y+1/2,-z'
'-x+1/2,y+1/2,-z'
'x+1/2,-y+1/2,z'
loop_
_atom_site_label
_atom_site_fract_x
_atom_site_fract_y
_atom_site_fract_z
Li1 0.0000 0.0000 0.0000
Li2 0.2446 0.0000 0.7256
Rh1 0.0000 0.5000 0.5000
```

## Properties
Uncorrected energy: -3.362 eV/atom
Crystal system: monoclinic
Density: 3.58 g cm⁻³
Energy relative to the elements: -0.089 eV per atom
Total moment: 0.519 μB/f.u.